KFe2Pb, optimized geometry, DFT PBE; size of the total moment = 4.72 μB per cell; E_form = 0.5390 eV/atom; excess energy over the best structure of this formula in the dataset = 10.5 kJ per mole of atoms
1.0
-3.7394 -1.4089 -2.1762
-3.3439 -2.0460 2.3100
-4.9997 4.3166 1.0538
Pb Fe K
1 2 1
direct
0.2500 0.2500 0.2500
0.9263 0.9263 0.2212
0.5737 0.5737 0.2788
0.7500 0.7500 0.7500

K3FePb, optimized geometry, DFT PBE; size of the total moment = 2.84 μB per cell; E_form = 0.8358 eV/atom; excess energy over the best structure of this formula in the dataset = 0.0 kJ per mole of atoms
1.0
6.2306 0.0000 0.0000
0.0000 6.2306 0.0000
0.0000 0.0000 6.2306
K Pb Fe
3 1 1
direct
0.0000 0.5000 0.0000
0.0000 0.0000 0.5000
0.5000 0.0000 0.0000
0.5000 0.5000 0.5000
0.0000 0.0000 0.0000

K4FePb, optimized geometry, DFT PBE; size of the total moment = 3.47 μB per cell; E_form = 0.7742 eV/atom
1.0
0.0000 5.0109 5.0109
5.0109 0.0000 5.0109
5.0109 5.0109 0.0000
K Pb Fe
4 1 1
direct
0.3753 0.8740 0.3753
0.3753 0.3753 0.3753
0.8740 0.3753 0.3753
0.3753 0.3753 0.8740
0.7500 0.7500 0.7500
0.0000 0.0000 0.0000

KFe2Pb, optimized geometry, DFT PBE; size of the total moment = 5.30 μB per cell; E_form = 0.4303 eV/atom; excess energy over the best structure of this formula in the dataset = 0.0 kJ per mole of atoms
1.0
3.2725 0.1668 0.0000
-0.1667 3.2725 0.0000
0.0000 0.0000 8.3338
K Fe Pb
1 2 1
direct
0.0000 0.0000 0.4740
0.5000 0.5000 0.1550
0.0000 0.0000 0.0510
0.5000 0.5000 0.8200

KFe2Pb, optimized geometry, DFT PBE; size of the total moment = 6.02 μB per cell; E_form = 1.0859 eV/atom; excess energy over the best structure of this formula in the dataset = 63.2 kJ per mole of atoms
1.0
-3.1521 3.2206 1.2129
-2.8375 -1.5001 -3.3909
-1.6980 -2.6363 2.5872
Pb Fe K
1 2 1
direct
0.0000 0.5000 0.5000
0.0000 0.0000 0.0000
0.5000 0.5000 0.0000
0.5000 0.0000 0.5000

KFe2Pb, optimized geometry, DFT PBE; size of the total moment = 5.53 μB per cell; E_form = 0.7770 eV/atom; excess energy over the best structure of this formula in the dataset = 33.4 kJ per mole of atoms
1.0
-1.8045 2.7782 -0.5447
-2.8646 -2.2420 -1.9454
-3.5287 -1.0384 6.3929
Fe Pb K
2 1 1
direct
0.0000 0.0000 0.8989
0.0000 0.0000 0.6011
0.5000 0.5000 0.7500
0.5000 0.5000 0.2500

K2FePb, optimized geometry, DFT PBE; size of the total moment = 3.28 μB per cell; E_form = 0.6413 eV/atom
1.0
-4.6504 -2.7258 2.1323
0.1535 -2.9980 -3.4978
2.7475 -2.7496 2.4773
Pb K Fe
1 2 1
direct
0.5000 0.5000 0.0000
0.0000 0.5000 0.5000
0.0000 0.0000 0.0000
0.5000 0.0000 0.5000

KFePb2, optimized geometry, DFT PBE; size of the total moment = 2.66 μB per cell; E_form = 0.2412 eV/atom
1.0
4.5053 0.0212 -0.0240
2.2367 3.9110 -0.0240
2.2918 1.3367 7.2710
Fe Pb K
1 2 1
direct
0.5808 0.5808 0.2573
0.9641 0.9641 0.1070
0.2017 0.2017 0.3946
0.7534 0.7534 0.7411